(1)
# Tm8ZnP3S4 PBE relaxed
data_Tm8ZnP3S4
_chemical_formula_sum 'Tm24 Zn3 P9 S12'
_symmetry_space_group_name_H-M 'R -3 m'
_symmetry_Int_Tables_number 166
_symmetry_space_group_name_Hall '-R 3 2"'
_cell_length_a 7.8061
_cell_length_b 7.8061
_cell_length_c 19.2531
_cell_angle_alpha 90.00
_cell_angle_beta 90.00
_cell_angle_gamma 120.00
loop_
_atom_site_label
_atom_site_type_symbol
_atom_site_fract_x
_atom_site_fract_y
_atom_site_fract_z
Tm1 Tm 0.0000 0.0000 0.2467
Tm2 Tm 0.0044 0.5022 0.7505
Zn1 Zn 0.0000 0.0000 0.5000
P1 P 0.0000 0.5000 0.5000
S1 S 0.0000 0.0000 0.0000
S2 S 0.0000 0.5000 0.0000
# E_form (uncorrected) (eV per formula unit): -25.974
# Total magnetization (μB per atom): 0.000
# Density of states at the Fermi level (states/eV per atom): 0.3748

---

(2)
# Ba8Ga2Pt PBE relaxed
data_Ba8Ga2Pt
_chemical_formula_sum 'Ba16 Ga4 Pt2'
_symmetry_space_group_name_H-M 'C 1 2/m 1'
_symmetry_Int_Tables_number 12
_cell_length_a 26.033
_cell_length_b 4.584
_cell_length_c 9.230
_cell_angle_alpha 90.00
_cell_angle_beta 90.54
_cell_angle_gamma 90.00
loop_
_symmetry_equiv_pos_as_xyz
'x,y,z'
'-x,-y,-z'
'-x,y,-z'
'x,-y,z'
'x+1/2,y+1/2,z'
'-x+1/2,-y+1/2,-z'
'-x+1/2,y+1/2,-z'
'x+1/2,-y+1/2,z'
loop_
_atom_site_label
_atom_site_type_symbol
_atom_site_fract_x
_atom_site_fract_y
_atom_site_fract_z
Ba1 Ba 0.011 0.000 0.232
Ba2 Ba 0.118 0.500 0.507
Ba3 Ba 0.121 0.500 0.996
Ba4 Ba 0.247 0.000 0.740
Ga1 Ga 0.156 0.000 0.258
Pt1 Pt 0.000 0.500 0.000
# Total magnetization (μB per atom): 0.000
# Density of states at the Fermi level (states/eV per atom): 1.0034
# Energy of formation (kJ/mol of formula units): -309

---

(3)
# Ca2CdSi2 PBE relaxed
data_Ca2CdSi2
_chemical_formula_sum 'Ca8 Cd4 Si8'
_symmetry_space_group_name_H-M 'C 1 2/m 1'
_symmetry_Int_Tables_number 12
_cell_length_a 11.055
_cell_length_b 4.548
_cell_length_c 10.553
_cell_angle_alpha 90.00
_cell_angle_beta 118.80
_cell_angle_gamma 90.00
loop_
_symmetry_equiv_pos_as_xyz
'x,y,z'
'-x,-y,-z'
'-x,y,-z'
'x,-y,z'
'x+1/2,y+1/2,z'
'-x+1/2,-y+1/2,-z'
'-x+1/2,y+1/2,-z'
'x+1/2,-y+1/2,z'
loop_
_atom_site_label
_atom_site_type_symbol
_atom_site_fract_x
_atom_site_fract_y
_atom_site_fract_z
Ca1 Ca 0.003 0.000 0.182
Ca2 Ca 0.184 0.000 0.601
Cd1 Cd 0.220 0.500 0.859
Si1 Si 0.022 0.500 0.396
Si2 Si 0.124 0.500 0.064
# E_form (uncorrected) (eV per formula unit): -2.009
# Total magnetization (μB per atom): 0.000
# Density of states at the Fermi level (states/eV per atom): 0.3148

---

(4)
# BeBAs2 PBE relaxed
data_BeBAs2
_chemical_formula_sum 'Be4 B4 As8'
_symmetry_space_group_name_H-M 'I -4 2 d'
_symmetry_Int_Tables_number 122
_symmetry_space_group_name_Hall 'I -4 2bw'
_cell_length_a 5.060
_cell_length_b 5.060
_cell_length_c 9.732
_cell_angle_alpha 90.00
_cell_angle_beta 90.00
_cell_angle_gamma 90.00
loop_
_atom_site_label
_atom_site_type_symbol
_atom_site_fract_x
_atom_site_fract_y
_atom_site_fract_z
Be1 Be 0.000 0.000 0.000
B1 B 0.000 0.000 0.500
As1 As 0.227 0.250 0.625
# Total magnetization (μB per atom): 0.000
# Density of states at the Fermi level (states/eV per atom): 0.5039
# Energy of formation (kJ/mol of formula units): 22

---

(5)
# ThScZnFe PBE relaxed
data_ThScZnFe
_chemical_formula_sum 'Th4 Sc4 Zn4 Fe4'
_symmetry_space_group_name_H-M 'F -4 3 m'
_symmetry_Int_Tables_number 216
_symmetry_space_group_name_Hall 'F -4 2 3'
_cell_length_a 6.868
_cell_length_b 6.868
_cell_length_c 6.868
_cell_angle_alpha 90.00
_cell_angle_beta 90.00
_cell_angle_gamma 90.00
loop_
_atom_site_label
_atom_site_type_symbol
_atom_site_fract_x
_atom_site_fract_y
_atom_site_fract_z
Th1 Th 0.000 0.000 0.000
Sc1 Sc 0.000 0.000 0.500
Zn1 Zn 0.250 0.250 0.750
Fe1 Fe 0.250 0.250 0.250
# Total magnetization (μB per atom): 0.167
# Density of states at the Fermi level (states/eV per atom): 1.2455
# Energy of formation (kJ/mol of formula units): -24

---

(6)
# TaAsRh3 PBE relaxed
data_TaAsRh3
_chemical_formula_sum 'Ta1 As1 Rh3'
_symmetry_space_group_name_H-M 'P m -3 m'
_symmetry_Int_Tables_number 221
_symmetry_space_group_name_Hall '-P 4 2 3'
_cell_length_a 4.490
_cell_length_b 4.490
_cell_length_c 4.490
_cell_angle_alpha 90.00
_cell_angle_beta 90.00
_cell_angle_gamma 90.00
loop_
_atom_site_label
_atom_site_type_symbol
_atom_site_fract_x
_atom_site_fract_y
_atom_site_fract_z
Ta1 Ta 0.000 0.000 0.000
As1 As 0.500 0.500 0.500
Rh1 Rh 0.000 0.500 0.500
# Total magnetization (μB per atom): 0.015
# Density of states at the Fermi level (states/eV per atom): 3.0191
# Energy of formation (kJ/mol of formula units): 305

---

(7)
# HoBi2Pb PBE relaxed
data_HoBi2Pb
_chemical_formula_sum 'Ho4 Bi8 Pb4'
_symmetry_space_group_name_H-M 'F m -3 m'
_symmetry_Int_Tables_number 225
_symmetry_space_group_name_Hall '-F 4 2 3'
_cell_length_a 7.913
_cell_length_b 7.913
_cell_length_c 7.913
_cell_angle_alpha 90.00
_cell_angle_beta 90.00
_cell_angle_gamma 90.00
loop_
_atom_site_label
_atom_site_type_symbol
_atom_site_fract_x
_atom_site_fract_y
_atom_site_fract_z
Ho1 Ho 0.000 0.000 0.000
Bi1 Bi 0.250 0.250 0.250
Pb1 Pb 0.000 0.000 0.500
# Total magnetization (μB per atom): 0.000
# Density of states at the Fermi level (states/eV per atom): 0.4173
# Energy of formation (kJ/mol of formula units): -85

---

(8)
# Pm3TmSc2S6 PBE relaxed
data_Pm3TmSc2S6
_chemical_formula_sum 'Pm6 Tm2 Sc4 S12'
_symmetry_space_group_name_H-M 'C 1 2/m 1'
_symmetry_Int_Tables_number 12
_cell_length_a 6.662
_cell_length_b 11.585
_cell_length_c 6.847
_cell_angle_alpha 90.00
_cell_angle_beta 109.03
_cell_angle_gamma 90.00
loop_
_symmetry_equiv_pos_as_xyz
'x,y,z'
'-x,-y,-z'
'-x,y,-z'
'x,-y,z'
'x+1/2,y+1/2,z'
'-x+1/2,-y+1/2,-z'
'-x+1/2,y+1/2,-z'
'x+1/2,-y+1/2,z'
loop_
_atom_site_label
_atom_site_type_symbol
_atom_site_fract_x
_atom_site_fract_y
_atom_site_fract_z
Pm1 Pm 0.000 0.000 0.000
Pm2 Pm 0.000 0.335 0.000
Tm1 Tm 0.000 0.500 0.500
Sc1 Sc 0.000 0.167 0.500
S1 S 0.235 0.000 0.724
S2 S 0.245 0.330 0.726
# E_form (uncorrected) (eV per formula unit): -23.442
# Total magnetization (μB per atom): 0.000
# Density of states at the Fermi level (states/eV per atom): 0.4323

---

> What is the total magnetization in the fourth record?

0.000 μB per atom

---

> The highest total magnetization belongs to which entry?

ThScZnFe

---

> Which of these has the highest density of states at the Fermi level?

TaAsRh3

---

> Among the records above, which one has the highest total magnetization?

ThScZnFe